Entry 1:
A relaxed structure of LiBPdPb, computed with GGA-PBE.

Cell: 4.4591 4.4591 4.4591 Å, 60.00 60.00 60.00°
Atoms (fractional coordinates):
Li  0.7500  0.7500  0.7500
Pb  0.5000  0.5000  0.5000
Pd  0.2500  0.2500  0.2500
B  0.0000  0.0000  0.0000

## Properties
As for the energy above the lowest structure with this stoichiometry: 29 meV per atom.

---

Entry 2:
A relaxed structure of LiBPdPb, computed with GGA-PBE.

Cell: 4.3993 4.3993 4.3993 Å, 60.00 60.00 60.00°
Atoms (fractional coordinates):
Pb  0.5000  0.5000  0.5000
Pd  0.0000  0.0000  0.0000
B  0.2500  0.2500  0.2500
Li  0.7500  0.7500  0.7500

## Properties
As for the energy above the lowest structure with this stoichiometry: 0 meV per atom.

---

Entry 3:
A relaxed structure of Li2BPd14, computed with GGA-PBE.

Cell: 9.5400 9.5400 12.5389 Å, 90.00 90.00 90.00°
Atoms (fractional coordinates):
B  0.6235  0.3765  0.0000
B  0.8765  0.8765  0.5000
Pd  0.8571  0.4568  0.3274
Pd  0.9293  0.7252  0.6162
Pd  0.0000  0.5000  0.0000
Pd  0.6429  0.9568  0.1726
Pd  0.0000  0.5000  0.5000
Pd  0.4568  0.8571  0.3274
Pd  0.2748  0.0707  0.3838
Pd  0.5432  0.1429  0.6726
Pd  0.3571  0.0432  0.8274
Pd  0.4293  0.7748  0.1162
Pd  0.5963  0.4037  0.6978
Pd  0.2748  0.0707  0.6162
Pd  0.0432  0.3571  0.8274
Li  0.2121  0.7879  0.5000
Pd  0.8189  0.1811  0.2526
Pd  0.0963  0.0963  0.8022
B  0.3765  0.6235  0.0000
Pd  0.4568  0.8571  0.6726
Pd  0.4293  0.7748  0.8838
Pd  0.9293  0.7252  0.3838
Pd  0.1811  0.8189  0.2526
Li  0.6673  0.6673  0.5000
Pd  0.7748  0.4293  0.8838
B  0.1235  0.1235  0.5000
Pd  0.6429  0.9568  0.8274
Pd  0.0432  0.3571  0.1726
Li  0.8327  0.1673  0.0000
Pd  0.7748  0.4293  0.1162
Pd  0.7252  0.9293  0.6162
Pd  0.4037  0.5963  0.6978
Pd  0.9037  0.9037  0.1978
Pd  0.8189  0.1811  0.7474
Pd  0.1429  0.5432  0.3274
Pd  0.3189  0.3189  0.2474
Pd  0.3189  0.3189  0.7526
Pd  0.9037  0.9037  0.8022
Li  0.7121  0.7121  0.0000
Pd  0.0000  0.0000  0.3911
Pd  0.5707  0.2252  0.8838
Pd  0.7252  0.9293  0.3838
Pd  0.4037  0.5963  0.3022
Pd  0.6811  0.6811  0.7526
Pd  0.0000  0.0000  0.6089
Li  0.7879  0.2121  0.5000
Pd  0.9568  0.6429  0.8274
Pd  0.5963  0.4037  0.3022
Pd  0.5000  0.0000  0.0000
Pd  0.5707  0.2252  0.1162
Pd  0.1811  0.8189  0.7474
Pd  0.0707  0.2748  0.3838
Li  0.3327  0.3327  0.5000
Pd  0.5000  0.5000  0.1089
Pd  0.2252  0.5707  0.8838
Pd  0.5000  0.5000  0.8911
Pd  0.9568  0.6429  0.1726
Pd  0.3571  0.0432  0.1726
Pd  0.2252  0.5707  0.1162
Pd  0.0707  0.2748  0.6162
Pd  0.5432  0.1429  0.3274
Li  0.1673  0.8327  0.0000
Pd  0.8571  0.4568  0.6726
Pd  0.1429  0.5432  0.6726
Pd  0.5000  0.0000  0.5000
Pd  0.0963  0.0963  0.1978
Pd  0.6811  0.6811  0.2474
Li  0.2879  0.2879  0.0000

## Properties
Its total energy is -4.938 eV/atom.

---

Which formula does entry 3 have?
Li2BPd14